Record 1
The following is a DFT calculation (PBE) of a relaxed structure of PtF3.

Output
Crystal system   orthorhombic

Cell: 2.984 4.219 5.037 Å, 114.76 107.23 90.00°
Site moments in Bohr magnetons follow the coordinates.
Fractional coordinates of all 4 atoms:
Pt1 0.000 0.917 0.000  0.48
F1 0.340 0.757 0.681  0.02
F2 0.500 0.417 0.000  0.23
F3 0.660 0.076 0.319  0.02

=====

Record 2
The following is a DFT calculation (PBE) of a relaxed structure of PtF3.

Output
Crystal system   orthorhombic

Cell: 3.331 6.828 6.828 Å, 117.88 90.00 90.00°
Site moments in Bohr magnetons follow the coordinates.
Fractional coordinates of all 8 atoms:
Pt1 0.750 0.584 0.416  0.52
Pt2 0.250 0.416 0.584  0.52
F1 0.250 0.252 0.748  0.04
F2 0.750 0.748 0.252  0.04
F3 0.250 0.681 0.858  0.19
F4 0.750 0.319 0.142  0.19
F5 0.250 0.142 0.319  0.19
F6 0.750 0.858 0.681  0.19

=====

Record 3
The following is a DFT calculation (PBE) of a relaxed structure of PtF.

Output
Excess energy over the best structure of this formula in the dataset   53 meV per atom
Crystal system   monoclinic

Cell: 2.750 3.349 7.233 Å, 67.32 90.00 90.00°
Fractional coordinates of all 4 atoms:
Pt1 0.250 0.370 0.880
Pt2 0.750 0.630 0.120
F1 0.250 0.097 0.674
F2 0.750 0.903 0.326

=====

Record 4
The following is a DFT calculation (PBE) of a relaxed structure of PtF.

Output
Excess energy over the best structure of this formula in the dataset   347 meV per atom
Crystal system   cubic

Cell: 8.118 8.118 8.118 Å, 90.00 90.00 90.00°
Fractional coordinates of all 16 atoms:
Pt1 0.392 0.392 0.392
Pt2 0.392 0.608 0.608
Pt3 0.608 0.392 0.608
Pt4 0.608 0.608 0.392
Pt5 0.892 0.892 0.892
Pt6 0.892 0.108 0.108
Pt7 0.108 0.892 0.108
Pt8 0.108 0.108 0.892
F1 0.255 0.255 0.255
F2 0.255 0.745 0.745
F3 0.745 0.255 0.745
F4 0.745 0.745 0.255
F5 0.755 0.755 0.755
F6 0.755 0.245 0.245
F7 0.245 0.755 0.245
F8 0.245 0.245 0.755

=====

Record 5
The following is a DFT calculation (PBE) of a relaxed structure of PtF.

Output
Excess energy over the best structure of this formula in the dataset   1205 meV per atom
Crystal system   cubic

Cell: 5.284 5.284 5.284 Å, 90.00 90.00 90.00°
Site moments in Bohr magnetons follow the coordinates.
Fractional coordinates of all 8 atoms:
Pt1 0.000 0.000 0.000  1.09
Pt2 0.000 0.500 0.500  1.09
Pt3 0.500 0.000 0.500  1.09
Pt4 0.500 0.500 0.000  1.09
F1 0.250 0.250 0.250  0.19
F2 0.250 0.750 0.750  0.19
F3 0.750 0.250 0.750  0.19
F4 0.750 0.750 0.250  0.19

=====

Record 6
The following is a DFT calculation (PBE) of a relaxed structure of PtF3.

Output
Crystal system   tetragonal

Cell: 3.870 3.870 7.497 Å, 75.04 75.04 90.00°
Site moments in Bohr magnetons follow the coordinates.
Fractional coordinates of all 8 atoms:
Pt1 0.000 0.000 0.000  0.52
Pt2 0.750 0.250 0.500  0.53
F1 0.500 0.500 0.000  0.25
F2 0.250 0.750 0.500  0.25
F3 0.716 0.125 0.250  0.03
F4 0.034 0.625 0.250  0.04
F5 0.375 0.284 0.750  0.04
F6 0.875 0.966 0.750  0.04

=====

no.,E_tot (eV/atom),magnetic moment (μB/f.u.)
1,-3.675,0.8
2,-3.812,1.0
3,-4.469,0.0
4,-4.174,0.0
5,-3.316,1.3
6,-3.199,0.9